Here is a relaxed Fe3Ni2Ir3 crystal from Alexandria. Energies are from GGA-PBE.

Cell: 4.734 4.734 4.734 Å, 86.41 86.41 93.59°
Sites, in units of the cell vectors:
1 Fe 0.290 0.710 0.000
2 Fe 0.710 0.000 0.710
3 Ir 0.216 0.784 0.500
4 Ni 0.264 0.264 0.736
5 Ir 0.784 0.500 0.784
6 Fe 0.000 0.290 0.290
7 Ni 0.736 0.736 0.264
8 Ir 0.500 0.216 0.216

Computed properties:
* DOS at the Fermi energy: 9.230 states/eV/cell
* spin magnetization: 9.183 Bohr magnetons per cell
* V: 105.43 Å³ per cell
* space-group type: R32, No. 155
* formation energy: 0.0967 eV/atom